This record from Alexandria via LeMat-Bulk describes a relaxed Si2Cl crystal. The functional is PBE-GGA.

Cell: 3.890 5.406 9.810 Å, 77.04 84.60 69.41°
Fractional positions:
Si1 0.095 0.287 0.471
Si2 0.311 0.858 0.631
Si3 0.689 0.142 0.369
Si4 0.905 0.713 0.529
Cl1 0.261 0.819 0.846
Cl2 0.739 0.181 0.154

Summary:
- ΔE_f (raw) (kcal/mol of atoms) = -7.73
- raw total energy (eV per cell) = -27.40
- size of the total moment (μB per formula unit) = 0.00
- crystal system = triclinic



This record from Alexandria via LeMat-Bulk describes a relaxed Si6Cl7 crystal. The functional is PBE-GGA.

Cell: 12.108 12.108 12.108 Å, 32.37 32.37 32.37°
Fractional positions:
Si1 0.031 0.031 0.031
Si2 0.097 0.097 0.097
Si3 0.268 0.268 0.268
Si4 0.732 0.732 0.732
Si5 0.903 0.903 0.903
Si6 0.969 0.969 0.969
Cl1 0.083 0.595 0.595
Cl2 0.405 0.405 0.917
Cl3 0.405 0.917 0.405
Cl4 0.500 0.500 0.500
Cl5 0.595 0.083 0.595
Cl6 0.595 0.595 0.083
Cl7 0.917 0.405 0.405

Summary:
- ΔE_f (raw) (kcal/mol of atoms) = 4.09
- raw total energy (eV per cell) = -43.16
- size of the total moment (μB per formula unit) = 1.94
- crystal system = trigonal



This record from Alexandria via LeMat-Bulk describes a relaxed SiCl2 crystal. The functional is PBE-GGA.

Cell: 4.514 4.514 3.322 Å, 90.00 90.00 90.00°
Fractional positions:
Si1 0.000 0.000 0.000
Cl1 0.000 0.500 0.500
Cl2 0.500 0.000 0.500

Summary:
- ΔE_f (raw) (kcal/mol of atoms) = -3.77
- raw total energy (eV per cell) = -9.61
- size of the total moment (μB per formula unit) = 0.00
- crystal system = tetragonal



This record from Alexandria via LeMat-Bulk describes a relaxed Si2Cl crystal. The functional is PBE-GGA.

Cell: 4.252 5.350 8.652 Å, 77.57 76.11 75.68°
Fractional positions:
Si1 0.000 0.000 0.000
Si2 0.017 0.412 0.055
Si3 0.343 0.688 0.852
Si4 0.568 0.774 0.048
Cl1 0.179 0.296 0.277
Cl2 0.419 0.646 0.613

Summary:
- ΔE_f (raw) (kcal/mol of atoms) = -1.93
- raw total energy (eV per cell) = -25.89
- size of the total moment (μB per formula unit) = 0.00
- crystal system = triclinic



This record from Alexandria via LeMat-Bulk describes a relaxed SiCl3 crystal. The functional is PBE-GGA.

Cell: 4.371 4.371 4.371 Å, 90.00 90.00 90.00°
Fractional positions:
Si1 0.000 0.000 0.000
Cl1 0.000 0.500 0.500
Cl2 0.500 0.000 0.500
Cl3 0.500 0.500 0.000

Summary:
- ΔE_f (raw) (kcal/mol of atoms) = 8.60
- raw total energy (eV per cell) = -9.47
- size of the total moment (μB per formula unit) = 1.00
- crystal system = cubic



This record from Alexandria via LeMat-Bulk describes a relaxed Si3Cl2 crystal. The functional is PBE-GGA.

Cell: 3.859 3.859 11.747 Å, 90.00 90.00 120.00°
Fractional positions:
Si1 0.000 0.000 0.000
Si2 0.333 0.667 0.480
Si3 0.667 0.333 0.520
Cl1 0.333 0.667 0.878
Cl2 0.667 0.333 0.122

Summary:
- ΔE_f (raw) (kcal/mol of atoms) = -0.47
- raw total energy (eV per cell) = -20.06
- size of the total moment (μB per formula unit) = 0.00
- crystal system = trigonal



This record from Alexandria via LeMat-Bulk describes a relaxed Si2Cl crystal. The functional is PBE-GGA.

Cell: 3.881 3.881 4.864 Å, 90.00 90.00 120.00°
Fractional positions:
Si1 0.333 0.667 0.434
Si2 0.667 0.333 0.566
Cl1 0.000 0.000 0.000

Summary:
- ΔE_f (raw) (kcal/mol of atoms) = 4.97
- raw total energy (eV per cell) = -12.05
- size of the total moment (μB per formula unit) = 0.00
- crystal system = trigonal



This record from Alexandria via LeMat-Bulk describes a relaxed Si2Cl crystal. The functional is PBE-GGA.

Cell: 3.740 3.740 9.957 Å, 91.46 91.46 77.83°
Fractional positions:
Si1 0.097 0.097 0.136
Si2 0.313 0.313 0.926
Si3 0.687 0.687 0.074
Si4 0.903 0.903 0.864
Cl1 0.233 0.233 0.333
Cl2 0.767 0.767 0.667

Summary:
- ΔE_f (raw) (kcal/mol of atoms) = -4.81
- raw total energy (eV per cell) = -26.64
- size of the total moment (μB per formula unit) = 0.00
- crystal system = monoclinic



This record from Alexandria via LeMat-Bulk describes a relaxed SiCl2 crystal. The functional is PBE-GGA.

Cell: 9.118 9.118 5.266 Å, 90.00 90.00 156.45°
Fractional positions:
Si1 0.180 0.820 0.750
Si2 0.820 0.180 0.250
Cl1 0.194 0.806 0.250
Cl2 0.409 0.591 0.250
Cl3 0.591 0.409 0.750
Cl4 0.806 0.194 0.750

Summary:
- ΔE_f (raw) (kcal/mol of atoms) = -10.77
- raw total energy (eV per cell) = -21.03
- size of the total moment (μB per formula unit) = 0.00
- crystal system = orthorhombic



This record from Alexandria via LeMat-Bulk describes a relaxed Si2Cl crystal. The functional is PBE-GGA.

Cell: 11.427 11.427 3.449 Å, 98.54 98.54 17.37°
Fractional positions:
Si1 0.052 0.052 0.051
Si2 0.418 0.418 0.419
Si3 0.582 0.582 0.581
Si4 0.948 0.948 0.949
Cl1 0.325 0.325 0.328
Cl2 0.675 0.675 0.672

Summary:
- ΔE_f (raw) (kcal/mol of atoms) = -5.49
- raw total energy (eV per cell) = -26.81
- size of the total moment (μB per formula unit) = 0.00
- crystal system = monoclinic



This record from Alexandria via LeMat-Bulk describes a relaxed SiCl3 crystal. The functional is PBE-GGA.

Cell: 4.949 4.949 4.949 Å, 109.47 109.47 109.47°
Fractional positions:
Si1 0.000 0.000 0.000
Cl1 0.000 0.500 0.500
Cl2 0.500 0.000 0.500
Cl3 0.500 0.500 0.000

Summary:
- ΔE_f (raw) (kcal/mol of atoms) = 6.03
- raw total energy (eV per cell) = -9.92
- size of the total moment (μB per formula unit) = 0.00
- crystal system = cubic



This record from Alexandria via LeMat-Bulk describes a relaxed Si2Cl crystal. The functional is PBE-GGA.

Cell: 3.891 5.408 9.902 Å, 74.85 89.78 69.37°
Fractional positions:
Si1 0.101 0.260 0.029
Si2 0.282 0.981 0.869
Si3 0.718 0.019 0.131
Si4 0.899 0.740 0.971
Cl1 0.187 0.145 0.653
Cl2 0.813 0.855 0.347

Summary:
- ΔE_f (raw) (kcal/mol of atoms) = -7.73
- raw total energy (eV per cell) = -27.40
- size of the total moment (μB per formula unit) = 0.00
- crystal system = triclinic